# 1
This record from Alexandria via LeMat-Bulk describes a geometry-optimized Pm5Sm2Y4 structure. The functional is PBE-GGA.

a = 6.7083 Å, b = 6.7083 Å, c = 9.4289 Å
α = 104.62°, β = 104.62°, γ = 66.37°
Last column: nearest neighbours and their distance in Å.
Atoms (fractional coordinates):
Pm (0.0000, 0.0000, 0.0000)  4 Pm 3.16, 2 Y 3.42
Pm (0.2145, 0.6533, 0.7330)  2 Pm 3.16-3.22, 2 Sm 3.49-3.53, 2 Y 3.50-3.54
Pm (0.3467, 0.7855, 0.2670)  2 Pm 3.16-3.22, 2 Sm 3.49-3.53, 2 Y 3.50-3.54
Pm (0.6533, 0.2145, 0.7330)  2 Pm 3.16-3.22, 2 Sm 3.49-3.53, 2 Y 3.50-3.54
Pm (0.7855, 0.3467, 0.2670)  2 Pm 3.16-3.22, 2 Sm 3.49-3.53, 2 Y 3.50-3.54
Sm (0.1451, 0.1451, 0.6210)  1 Sm 3.37, 4 Y 3.49-3.68, 4 Pm 3.49-3.53
Sm (0.8549, 0.8549, 0.3790)  1 Sm 3.37, 4 Y 3.49-3.68, 4 Pm 3.49-3.53
Y (0.3050, 0.3050, 0.0007)  5 Pm 3.42-3.64, 1 Sm 3.49, 1 Y 3.51
Y (0.3339, 0.3339, 0.3818)  6 Pm 3.50-3.55, 2 Y 3.51-3.72, 3 Sm 3.53-3.68
Y (0.6661, 0.6661, 0.6182)  6 Pm 3.50-3.55, 2 Y 3.51-3.72, 3 Sm 3.53-3.68
Y (0.6950, 0.6950, 0.9993)  5 Pm 3.42-3.64, 1 Sm 3.49, 1 Y 3.51

Output
Calculated formation energy, meV per atom: 121
E, eV/cell: -57.72
Total magnetic moment, μB/f.u.: 0.0
Volume, Å³ per cell: 370.6

---

# 2
This record from Alexandria via LeMat-Bulk describes a geometry-optimized Ti2GeAu structure. The functional is PBE-GGA.

a = 3.4654 Å, b = 3.4654 Å, c = 5.5483 Å
α = 90.00°, β = 90.00°, γ = 90.00°
Last column: nearest neighbours and their distance in Å.
Atoms (fractional coordinates):
Ti (0.0000, 0.0000, 0.2331)  1 Ti 2.59, 4 Ge 2.77, 4 Au 2.86
Ti (0.0000, 0.0000, 0.7669)  1 Ti 2.59, 4 Ge 2.77, 4 Au 2.86
Ge (0.5000, 0.5000, 0.0000)  8 Ti 2.77, 2 Au 2.77
Au (0.5000, 0.5000, 0.5000)  2 Ge 2.77, 8 Ti 2.86

Output
Calculated formation energy, meV per atom: -391
E, eV/cell: -25.25
Total magnetic moment, μB/f.u.: 0.0
Volume, Å³ per cell: 66.6

---

# 3
This record from Alexandria via LeMat-Bulk describes a geometry-optimized Ac4HoPu3Se8 structure. The functional is PBE-GGA.

a = 8.5457 Å, b = 8.5457 Å, c = 8.6557 Å
α = 119.56°, β = 119.56°, γ = 60.03°
Last column: nearest neighbours and their distance in Å.
Atoms (fractional coordinates):
Ac (0.0000, 0.0000, 0.0000)  6 Se 3.13-3.14
Ac (0.0000, 0.5000, 0.0000)  6 Se 3.14
Ac (0.5000, 0.0000, 0.0000)  6 Se 3.14
Ac (0.5000, 0.5000, 0.0000)  6 Se 3.17
Ho (0.0000, 0.0000, 0.5000)  6 Se 2.91-2.92
Pu (0.0000, 0.5000, 0.5000)  6 Se 2.95-2.96
Pu (0.5000, 0.0000, 0.5000)  6 Se 2.95-2.96
Pu (0.5000, 0.5000, 0.5000)  6 Se 2.95-2.96
Se (0.2395, 0.2395, 0.7251)  1 Ho 2.91, 2 Pu 2.96, 3 Ac 3.14-3.17
Se (0.2397, 0.7456, 0.7258)  1 Ho 2.92, 2 Pu 2.95-2.96, 3 Ac 3.13-3.17
Se (0.2544, 0.7603, 0.2742)  1 Ho 2.92, 2 Pu 2.95-2.96, 3 Ac 3.13-3.17
Se (0.2573, 0.2573, 0.2725)  3 Pu 2.95, 3 Ac 3.14
Se (0.7427, 0.7427, 0.7275)  3 Pu 2.95, 3 Ac 3.14
Se (0.7456, 0.2397, 0.7258)  1 Ho 2.92, 2 Pu 2.95-2.96, 3 Ac 3.13-3.17
Se (0.7603, 0.2544, 0.2742)  1 Ho 2.92, 2 Pu 2.95-2.96, 3 Ac 3.13-3.17
Se (0.7605, 0.7605, 0.2749)  1 Ho 2.91, 2 Pu 2.96, 3 Ac 3.14-3.17

Output
E, eV/cell: -119.48
Total magnetic moment, μB/f.u.: 17.5
Volume, Å³ per cell: 450.1
ΔE_f (raw), eV per atom: -1.73

---

# 4
This record from Alexandria via LeMat-Bulk describes a geometry-optimized K2U3SnSe8 structure. The functional is PBE-GGA.

a = 9.4221 Å, b = 9.4221 Å, c = 9.4221 Å
α = 53.17°, β = 53.17°, γ = 53.17°
Last column: nearest neighbours and their distance in Å.
Atoms (fractional coordinates):
K (0.0000, 0.0000, 0.0000)  6 Se 3.34-3.43
K (0.3613, 0.3613, 0.3613)  4 Se 3.17-3.22
U (0.4933, 0.9988, 0.9988)  6 Se 2.77-2.89
U (0.9988, 0.4933, 0.9988)  6 Se 2.77-2.89
U (0.9988, 0.9988, 0.4933)  6 Se 2.77-2.89
Sn (0.6102, 0.6102, 0.6102)  3 Se 2.77
Se (0.2179, 0.7361, 0.7361)  1 Sn 2.77, 2 U 2.89
Se (0.2281, 0.2281, 0.2281)  3 U 2.87
Se (0.2560, 0.2560, 0.7937)  2 U 2.77
Se (0.2560, 0.7937, 0.2560)  2 U 2.77
Se (0.7361, 0.2179, 0.7361)  1 Sn 2.77, 2 U 2.89
Se (0.7361, 0.7361, 0.2179)  1 Sn 2.77, 2 U 2.89
Se (0.7698, 0.7698, 0.7698)  3 U 2.86
Se (0.7937, 0.2560, 0.2560)  2 U 2.77

Output
E, eV/cell: -82.84
Total magnetic moment, μB/f.u.: 6.0
Volume, Å³ per cell: 496.8
ΔE_f (raw), eV per atom: -1.06